1.
DFT (SCAN) results for a crystal of Sc2NiP6 relaxed with PBEsol.

Computed properties:
Spin magnetization: 0.0 μB/cell
SG: No. 189
Energy of formation from the pure elements: -0.343 eV/atom

a = 3.3163 Å, b = 6.8116 Å, c = 6.8116 Å
α = 120.00°, β = 90.00°, γ = 90.00°
Last column: nearest neighbours and their distance in Å.
Fractional positions:
Ni 0.0000 0.0000 0.0000  9 P 2.37
P 0.5000 0.7511 0.7511  2 Ni 2.37, 2 Sc 2.61
P 0.5000 0.0000 0.2489  2 Ni 2.37, 2 Sc 2.61
P 0.5000 0.2489 0.0000  2 Ni 2.37, 2 Sc 2.61
P 0.0000 0.3486 0.3486  1 Ni 2.37
P 0.0000 0.0000 0.6514  1 Ni 2.37
P 0.0000 0.6514 0.0000  1 Ni 2.37
Sc 0.5000 0.6667 0.3333  9 P 2.61-2.77
Sc 0.5000 0.3333 0.6667  9 P 2.61-2.77

2.
DFT (SCAN) results for a crystal of Sc2Ni12P7 relaxed with PBEsol.

Computed properties:
Spin magnetization: 0.0 μB/cell
SG: No. 174
Energy of formation from the pure elements: -0.788 eV/atom

a = 3.5531 Å, b = 8.8780 Å, c = 8.8780 Å
α = 120.00°, β = 90.00°, γ = 90.00°
Last column: nearest neighbours and their distance in Å.
Fractional positions:
Sc 0.5000 0.3333 0.6667  6 P 2.76, 9 Ni 2.87-3.06
Sc 0.0000 0.6667 0.3333  6 P 2.76, 9 Ni 2.93-3.00
Ni 0.5000 0.6172 0.0503  4 P 2.19-2.26
Ni 0.5000 0.9497 0.5669  4 P 2.19-2.26
Ni 0.5000 0.7803 0.8745  5 P 2.29-2.48
Ni 0.5000 0.1255 0.9058  5 P 2.29-2.48
Ni 0.5000 0.0942 0.2197  5 P 2.29-2.48
Ni 0.0000 0.2766 0.1546  4 P 2.13-2.26
Ni 0.0000 0.8780 0.7234  4 P 2.13-2.26
Ni 0.0000 0.8454 0.1220  4 P 2.13-2.26
Ni 0.0000 0.0616 0.4363  4 P 2.17-2.30
Ni 0.0000 0.3747 0.9384  4 P 2.17-2.30
Ni 0.0000 0.5637 0.6253  4 P 2.17-2.30
Ni 0.5000 0.4331 0.3828  4 P 2.19-2.26
P 0.0000 0.0000 0.0000  3 Ni 2.13
P 0.0000 0.5885 0.8808  5 Ni 2.17-2.26
P 0.5000 0.4119 0.1179  7 Ni 2.19-2.30
P 0.5000 0.7060 0.5881  7 Ni 2.19-2.30
P 0.5000 0.8821 0.2940  7 Ni 2.19-2.30
P 0.0000 0.2923 0.4115  5 Ni 2.17-2.26
P 0.0000 0.1192 0.7077  5 Ni 2.17-2.26

Repeat the second record exactly.
DFT (SCAN) results for a crystal of Sc2Ni12P7 relaxed with PBEsol.

Computed properties:
Spin magnetization: 0.0 μB/cell
SG: No. 174
Energy of formation from the pure elements: -0.788 eV/atom

a = 3.5531 Å, b = 8.8780 Å, c = 8.8780 Å
α = 120.00°, β = 90.00°, γ = 90.00°
Last column: nearest neighbours and their distance in Å.
Fractional positions:
Sc 0.5000 0.3333 0.6667  6 P 2.76, 9 Ni 2.87-3.06
Sc 0.0000 0.6667 0.3333  6 P 2.76, 9 Ni 2.93-3.00
Ni 0.5000 0.6172 0.0503  4 P 2.19-2.26
Ni 0.5000 0.9497 0.5669  4 P 2.19-2.26
Ni 0.5000 0.7803 0.8745  5 P 2.29-2.48
Ni 0.5000 0.1255 0.9058  5 P 2.29-2.48
Ni 0.5000 0.0942 0.2197  5 P 2.29-2.48
Ni 0.0000 0.2766 0.1546  4 P 2.13-2.26
Ni 0.0000 0.8780 0.7234  4 P 2.13-2.26
Ni 0.0000 0.8454 0.1220  4 P 2.13-2.26
Ni 0.0000 0.0616 0.4363  4 P 2.17-2.30
Ni 0.0000 0.3747 0.9384  4 P 2.17-2.30
Ni 0.0000 0.5637 0.6253  4 P 2.17-2.30
Ni 0.5000 0.4331 0.3828  4 P 2.19-2.26
P 0.0000 0.0000 0.0000  3 Ni 2.13
P 0.0000 0.5885 0.8808  5 Ni 2.17-2.26
P 0.5000 0.4119 0.1179  7 Ni 2.19-2.30
P 0.5000 0.7060 0.5881  7 Ni 2.19-2.30
P 0.5000 0.8821 0.2940  7 Ni 2.19-2.30
P 0.0000 0.2923 0.4115  5 Ni 2.17-2.26
P 0.0000 0.1192 0.7077  5 Ni 2.17-2.26